# Pt2RhW, optimized geometry, DFT PBE
data_Pt2RhW
_cell_length_a 5.509
_cell_length_b 8.000
_cell_length_c 2.772
_cell_angle_alpha 90.00
_cell_angle_beta 90.00
_cell_angle_gamma 90.00
_space_group_name_H-M_alt 'C m m m'
_space_group_IT_number 65
_space_group_name_Hall '-C 2 2'
loop_
_atom_site_label
_atom_site_fract_x
_atom_site_fract_y
_atom_site_fract_z
Pt1 0.250 0.250 0.000
Rh1 0.000 0.000 0.500
W1 0.000 0.500 0.500
# Volume, Å³ per cell: 122.2
# N(E_F), states/eV/atom: 1.244
# E_form, kJ per mole of atoms: -13.46
# Magnetization, μB/cell: 0.00
# Total DFT energy (no corrections), eV per atom: -8.24